# PBE Zr4GaC2N, relaxed
# **N(E_F)**: 0.50 states/eV/atom
# **Formation energy without anion corrections**: -3.25 eV/f.u.
# **SG**: I-42m
# **DFT total energy**: -8.4059 eV/atom
# **Crystal system**: tetragonal
data_Zr4GaC2N
_symmetry_space_group_name_H-M 'P 1'
_symmetry_Int_Tables_number 1
_symmetry_space_group_name_Hall 'P 1'
_cell_length_a 6.0775
_cell_length_b 5.6340
_cell_length_c 5.6340
_cell_angle_alpha 65.24
_cell_angle_beta 57.36
_cell_angle_gamma 57.36
loop_
_atom_site_label
_atom_site_fract_x
_atom_site_fract_y
_atom_site_fract_z
C1 0.7501 0.7499 0.7499
C2 0.2499 0.2501 0.2501
Zr1 0.1290 0.8712 0.4668
Zr2 0.8710 0.5332 0.1288
Zr3 0.5331 0.4668 0.8712
Zr4 0.4669 0.1288 0.5332
Ga1 0.0000 0.0000 0.0000
N1 0.5000 0.5000 0.5000